A relaxed structure of NdGa7Tc2. Source: Alexandria via LeMat-Bulk, functional PBE.

POSCAR file:
```
NdGa7Tc2
1.0
4.4206 -5.3178 0.0000
4.4206 5.3178 0.0000
0.0000 0.0000 4.7673
Nd Ga Tc
1 7 2
Cartesian
0.0000 0.0000 0.0000 Nd
2.0177 1.3609 2.3837 Ga
4.4206 2.1367 0.0000 Ga
2.0177 -1.3609 2.3837 Ga
4.4206 0.0000 2.3837 Ga
6.8235 1.3609 2.3837 Ga
4.4206 -2.1367 0.0000 Ga
6.8235 -1.3609 2.3837 Ga
4.4206 2.4828 2.3837 Tc
4.4206 -2.4828 2.3837 Tc
```

DOS at the Fermi energy: 0.8074 states/eV per atom
energy: -0.1754 Ha/atom
total magnetization: 0.000 μB/atom

A relaxed structure of La2Pr4Nd2Tm. Source: Alexandria via LeMat-Bulk, functional PBE.

POSCAR file:
```
La2Pr4Nd2Tm
1.0
9.6393 -1.8613 0.0000
9.6393 1.8613 0.0000
-4.2560 0.0000 8.9437
La Pr Nd Tm
2 4 2 1
Cartesian
1.0456 0.0000 4.4659 La
13.9771 0.0000 4.4778 La
-3.1823 0.0000 7.4143 Pr
5.3636 0.0000 1.4970 Pr
9.6590 0.0000 7.4467 Pr
18.2049 0.0000 1.5295 Pr
3.2519 0.0000 7.4394 Nd
11.7708 0.0000 1.5043 Nd
7.5113 0.0000 4.4719 Tm
```

DOS at the Fermi energy: 1.4115 states/eV per atom
energy: -0.1750 Ha/atom
total magnetization: 0.000 μB/atom

A relaxed structure of Hf2MgZn3. Source: Alexandria via LeMat-Bulk, functional PBE.

POSCAR file:
```
Hf2MgZn3
1.0
3.0669 0.0000 0.0000
0.0000 3.0669 0.0000
0.0000 0.0000 11.4402
Hf Mg Zn
2 1 3
Cartesian
0.0000 0.0000 1.9333 Hf
0.0000 0.0000 9.5068 Hf
0.0000 0.0000 5.7201 Mg
1.5335 1.5335 0.0000 Zn
1.5335 1.5335 3.8649 Zn
1.5335 1.5335 7.5752 Zn
```

DOS at the Fermi energy: 0.6905 states/eV per atom
energy: -0.1607 Ha/atom
total magnetization: 0.000 μB/atom

A relaxed structure of RbNb3P. Source: Alexandria via LeMat-Bulk, functional PBE.

POSCAR file:
```
RbNb3P
1.0
4.8551 0.0000 0.0000
0.0000 4.8551 0.0000
0.0000 0.0000 4.8551
Rb Nb P
1 3 1
Cartesian
0.0000 0.0000 0.0000 Rb
0.0000 2.4276 2.4276 Nb
2.4276 0.0000 2.4276 Nb
2.4276 2.4276 0.0000 Nb
2.4276 2.4276 2.4276 P
```

DOS at the Fermi energy: 1.4570 states/eV per atom
energy relative to the lowest polymorph listed for this composition: 0.00 eV per formula unit
total magnetization: 0.124 μB/atom

A relaxed structure of Sc4BeCd. Source: Alexandria via LeMat-Bulk, functional PBE.

POSCAR file:
```
Sc4BeCd
1.0
0.0000 4.0620 4.0620
4.0620 0.0000 4.0620
4.0620 4.0620 0.0000
Sc Be Cd
4 1 1
Cartesian
1.0121 1.0121 1.0121 Sc
3.0499 3.0499 1.0121 Sc
3.0499 1.0121 3.0499 Sc
1.0121 3.0499 3.0499 Sc
6.0930 6.0930 6.0930 Be
4.0620 4.0620 4.0620 Cd
```

DOS at the Fermi energy: 0.8682 states/eV per atom
energy: -0.1653 Ha/atom
total magnetization: 0.000 μB/atom

A relaxed structure of Nb2NiPd. Source: Alexandria via LeMat-Bulk, functional PBE.

POSCAR file:
```
Nb2NiPd
1.0
3.9314 0.0000 0.0000
0.0000 3.9314 0.0000
0.0000 0.0000 4.0215
Nb Ni Pd
2 1 1
Cartesian
0.0000 1.9657 0.0000 Nb
1.9657 0.0000 0.0000 Nb
0.0000 0.0000 2.0107 Ni
1.9657 1.9657 2.0107 Pd
```

DOS at the Fermi energy: 0.8593 states/eV per atom
energy relative to the lowest polymorph listed for this composition: 0.12 eV per formula unit
total magnetization: 0.000 μB/atom

A relaxed structure of Ca2TbNpS4. Source: Alexandria via LeMat-Bulk, functional PBE.

POSCAR file:
```
Ca2TbNpS4
1.0
6.8598 0.0000 0.0000
0.0000 3.9610 0.0000
-2.3020 0.0000 6.5646
Ca Tb Np S
2 1 1 4
Cartesian
0.0000 0.0000 0.0000 Ca
3.4299 1.9805 0.0000 Ca
-1.1510 1.9805 3.2823 Tb
2.2789 0.0000 3.2823 Np
-0.0238 0.0000 4.9014 S
1.1352 1.9805 1.6674 S
3.4225 1.9805 4.8971 S
4.5816 0.0000 1.6631 S
```

DOS at the Fermi energy: 1.4498 states/eV per atom
formation energy without anion corrections: -1854 meV per atom
total magnetization: 0.591 μB/atom

A relaxed structure of LaHoAl. Source: Alexandria via LeMat-Bulk, functional PBE.

POSCAR file:
```
LaHoAl
1.0
-1.7610 1.7610 6.9106
1.7610 -1.7610 6.9106
1.7610 1.7610 -6.9106
La Ho Al
1 1 1
Cartesian
0.0000 0.0000 0.0000 La
0.0000 0.0000 4.0274 Ho
0.0000 0.0000 9.0668 Al
```

DOS at the Fermi energy: 0.9236 states/eV per atom
energy relative to the lowest polymorph listed for this composition: 0.02 eV per formula unit
total magnetization: 0.000 μB/atom